[1]
{"formula": "TbY3Hg2", "functional": "PBE", "state": "optimized geometry", "sg": "Pmc2_1 (26)", "formation_enthalpy_0k_mev_per_atom": -382, "cell": [[5.127, 0.000, 0.000], [0.000, 9.274, 0.000], [0.000, 0.000, 7.081]], "species": ["Tb", "Tb", "Y", "Y", "Y", "Y", "Y", "Y", "Hg", "Hg", "Hg", "Hg"], "fractional_positions": [[0.000, 0.057, 0.000], [0.000, 0.943, 0.500], [0.000, 0.325, 0.654], [0.000, 0.675, 0.154], [0.500, 0.174, 0.315], [0.500, 0.444, 0.969], [0.500, 0.556, 0.469], [0.500, 0.826, 0.815], [0.000, 0.351, 0.221], [0.000, 0.649, 0.721], [0.500, 0.150, 0.748], [0.500, 0.850, 0.248]]}

=====

[2]
{"formula": "Ac2PrNd9", "functional": "PBE", "state": "optimized geometry", "sg": "P4/mmm (123)", "formation_enthalpy_0k_mev_per_atom": 113, "cell": [[6.197, 0.000, 0.000], [0.000, 6.197, 0.000], [0.000, 0.000, 11.494]], "species": ["Ac", "Ac", "Pr", "Nd", "Nd", "Nd", "Nd", "Nd", "Nd", "Nd", "Nd", "Nd"], "fractional_positions": [[0.000, 0.000, 0.171], [0.000, 0.000, 0.829], [0.000, 0.000, 0.500], [0.000, 0.500, 0.000], [0.000, 0.500, 0.340], [0.000, 0.500, 0.660], [0.500, 0.000, 0.000], [0.500, 0.000, 0.340], [0.500, 0.000, 0.660], [0.500, 0.500, 0.165], [0.500, 0.500, 0.500], [0.500, 0.500, 0.835]]}

=====

[3]
{"formula": "Mg5CdAgHg2", "functional": "PBE", "state": "optimized geometry", "sg": "I4/mcm (140)", "formation_enthalpy_0k_mev_per_atom": -37, "cell": [[-3.569, 3.569, 8.144], [3.569, -3.569, 8.144], [3.569, 3.569, -8.144]], "species": ["Mg", "Mg", "Mg", "Mg", "Mg", "Mg", "Mg", "Mg", "Mg", "Mg", "Cd", "Cd", "Ag", "Ag", "Hg", "Hg", "Hg", "Hg"], "fractional_positions": [[0.000, 0.000, 0.000], [0.083, 0.583, 0.968], [0.115, 0.083, 0.500], [0.385, 0.885, 0.968], [0.417, 0.385, 0.500], [0.500, 0.500, 0.000], [0.583, 0.615, 0.500], [0.615, 0.115, 0.032], [0.885, 0.917, 0.500], [0.917, 0.417, 0.032], [0.250, 0.750, 0.500], [0.750, 0.250, 0.500], [0.250, 0.250, 0.000], [0.750, 0.750, 0.000], [0.138, 0.362, 0.500], [0.362, 0.862, 0.223], [0.638, 0.138, 0.777], [0.862, 0.638, 0.500]]}

=====

[4]
{"formula": "Nd3SiO6", "functional": "PBE", "state": "optimized geometry", "raw_formation_energy_ev_per_atom": -3.0956, "sg": "Cmc2_1 (36)", "cell": [[4.611, -5.728, 0.000], [4.611, 5.728, 0.000], [0.000, 0.000, 5.655]], "species": ["Nd", "Nd", "Nd", "Nd", "Nd", "Nd", "Si", "Si", "O", "O", "O", "O", "O", "O", "O", "O", "O", "O", "O", "O"], "fractional_positions": [[0.102, 0.898, 0.500], [0.211, 0.414, 0.465], [0.414, 0.211, 0.965], [0.586, 0.789, 0.465], [0.789, 0.586, 0.965], [0.898, 0.102, 0.000], [0.306, 0.694, 0.917], [0.694, 0.306, 0.417], [0.104, 0.610, 0.782], [0.144, 0.170, 0.728], [0.170, 0.144, 0.228], [0.283, 0.717, 0.203], [0.390, 0.896, 0.782], [0.448, 0.552, 0.838], [0.552, 0.448, 0.338], [0.610, 0.104, 0.282], [0.717, 0.283, 0.703], [0.830, 0.856, 0.728], [0.856, 0.830, 0.228], [0.896, 0.390, 0.282]]}